# 1
This record from the Alexandria database describes a geometry-optimized Ca2Mg3Zn12Pd structure. The functional is PBE.

* E_form: -0.068 eV per atom
* space group: R-3m, No. 166

CIF file:
```
data_Ca2Mg3Zn12Pd
_space_group_name_H-M_alt 'P 1'
_space_group_IT_number 1
_space_group_name_Hall 'P 1'
_cell_length_a 11.421
_cell_length_b 11.421
_cell_length_c 11.421
_cell_angle_alpha 31.59
_cell_angle_beta 31.59
_cell_angle_gamma 31.59
loop_
_atom_site_label
_atom_site_fract_x
_atom_site_fract_y
_atom_site_fract_z
Zn1 0.420 0.835 0.420
Zn2 0.634 0.092 0.092
Mg1 0.000 0.000 0.500
Zn3 0.165 0.580 0.580
Zn4 0.908 0.366 0.908
Mg2 0.500 0.000 0.000
Zn5 0.835 0.420 0.420
Zn6 0.092 0.634 0.092
Ca1 0.355 0.355 0.355
Mg3 0.000 0.500 0.000
Zn7 0.092 0.092 0.634
Zn8 0.366 0.908 0.908
Ca2 0.645 0.645 0.645
Zn9 0.580 0.580 0.165
Zn10 0.420 0.420 0.835
Pd1 0.000 0.000 0.000
Zn11 0.908 0.908 0.366
Zn12 0.580 0.165 0.580
```

***

# 2
This record from the Alexandria database describes a geometry-optimized BeB2W2 structure. The functional is PBE.

* E_form: -0.272 eV per atom
* polymorph energy (0 for the lowest one): 0.063 eV/atom
* space group: P4/mbm, No. 127

CIF file:
```
data_BeB2W2
_space_group_name_H-M_alt 'P 1'
_space_group_IT_number 1
_space_group_name_Hall 'P 1'
_cell_length_a 5.692
_cell_length_b 5.692
_cell_length_c 3.151
_cell_angle_alpha 90.00
_cell_angle_beta 90.00
_cell_angle_gamma 90.00
loop_
_atom_site_label
_atom_site_fract_x
_atom_site_fract_y
_atom_site_fract_z
W1 0.179 0.679 0.500
B1 0.886 0.614 0.000
W2 0.821 0.321 0.500
B2 0.386 0.886 0.000
Be1 0.500 0.500 0.000
Be2 0.000 0.000 0.000
B3 0.614 0.114 0.000
W3 0.679 0.821 0.500
W4 0.321 0.179 0.500
B4 0.114 0.386 0.000
```

***

# 3
This record from the Alexandria database describes a geometry-optimized MnAgRu structure. The functional is PBE.

* E_form: 0.305 eV per atom
* polymorph energy (0 for the lowest one): 0.000 eV/atom
* space group: I4mm, No. 107

CIF file:
```
data_MnAgRu
_space_group_name_H-M_alt 'P 1'
_space_group_IT_number 1
_space_group_name_Hall 'P 1'
_cell_length_a 6.036
_cell_length_b 6.036
_cell_length_c 6.036
_cell_angle_alpha 152.90
_cell_angle_beta 152.90
_cell_angle_gamma 38.70
loop_
_atom_site_label
_atom_site_fract_x
_atom_site_fract_y
_atom_site_fract_z
Mn1 0.318 0.318 0.000
Ru1 0.685 0.685 0.000
Ag1 0.997 0.997 0.000
```

***

# 4
This record from the Alexandria database describes a geometry-optimized LiCrPt structure. The functional is PBE.

* E_form: -0.030 eV per atom
* polymorph energy (0 for the lowest one): 0.212 eV/atom
* space group: P3m1, No. 156

CIF file:
```
data_LiCrPt
_space_group_name_H-M_alt 'P 1'
_space_group_IT_number 1
_space_group_name_Hall 'P 1'
_cell_length_a 4.146
_cell_length_b 4.146
_cell_length_c 2.607
_cell_angle_alpha 90.00
_cell_angle_beta 90.00
_cell_angle_gamma 120.00
loop_
_atom_site_label
_atom_site_fract_x
_atom_site_fract_y
_atom_site_fract_z
Li1 0.667 0.333 0.328
Pt1 0.333 0.667 0.662
Cr1 0.000 0.000 0.010
```

***

# 5
This record from the Alexandria database describes a geometry-optimized YBiSbTe2 structure. The functional is PBE.

* polymorph energy (0 for the lowest one): 0.205 eV/atom
* space group: P4/mmm, No. 123
* raw formation energy: 0.301 eV per atom

CIF file:
```
data_YBiSbTe2
_space_group_name_H-M_alt 'P 1'
_space_group_IT_number 1
_space_group_name_Hall 'P 1'
_cell_length_a 5.814
_cell_length_b 5.814
_cell_length_c 5.693
_cell_angle_alpha 90.00
_cell_angle_beta 90.00
_cell_angle_gamma 90.00
loop_
_atom_site_label
_atom_site_fract_x
_atom_site_fract_y
_atom_site_fract_z
Te1 0.500 0.000 0.000
Sb1 0.000 0.000 0.500
Y1 0.500 0.500 0.500
Te2 0.000 0.500 0.000
Bi1 0.000 0.000 0.000
```

***

# 6
This record from the Alexandria database describes a geometry-optimized Y2Zn3Cd structure. The functional is PBE.

* E_form: -0.361 eV per atom
* polymorph energy (0 for the lowest one): 0.000 eV/atom
* space group: Fmmm, No. 69

CIF file:
```
data_Y2Zn3Cd
_space_group_name_H-M_alt 'P 1'
_space_group_IT_number 1
_space_group_name_Hall 'P 1'
_cell_length_a 5.801
_cell_length_b 5.801
_cell_length_c 8.692
_cell_angle_alpha 104.36
_cell_angle_beta 104.36
_cell_angle_gamma 104.87
loop_
_atom_site_label
_atom_site_fract_x
_atom_site_fract_y
_atom_site_fract_z
Zn1 0.838 0.838 0.675
Zn2 0.675 0.162 0.837
Zn3 0.162 0.162 0.325
Zn4 0.162 0.675 0.837
Zn5 0.325 0.838 0.163
Zn6 0.838 0.325 0.163
Y1 0.250 0.750 0.500
Cd1 0.666 0.666 0.332
Y2 0.752 0.752 0.000
Y3 0.750 0.250 0.500
Cd2 0.334 0.334 0.668
Y4 0.248 0.248 0.000
```